1.
Material: NaNd2Ir
Method: DFT, PBE
State: relaxed

Cell lengths 3.5924, 3.5924, 9.5135 Å; angles 90.00, 90.00, 90.00 degrees
Sites, in units of the cell vectors:
Na1 0.0000 0.0000 0.0000
Nd1 0.5000 0.5000 0.3263
Nd2 0.5000 0.5000 0.6737
Ir1 0.0000 0.0000 0.5000

Results
As for the space group: P4/mmm (123). For the energy above the lowest structure with this stoichiometry, the calculation gives 0.070 eV/atom. For the formation energy, the calculation gives -0.27 eV per atom. As for the density of states at the Fermi level: 3.26 states/eV per cell.


2.
Material: NaNdIrO6
Method: DFT, PBE
State: relaxed

Cell lengths 5.7748, 5.7748, 8.9694 Å; angles 90.00, 90.00, 120.00 degrees
Sites, in units of the cell vectors:
Na1 0.0000 0.0000 0.0000
Na2 0.0000 0.0000 0.5000
Nd1 0.3333 0.6667 0.2500
Nd2 0.6667 0.3333 0.7500
Ir1 0.3333 0.6667 0.7500
Ir2 0.6667 0.3333 0.2500
O1 0.0593 0.3968 0.6309
O2 0.0593 0.6626 0.8691
O3 0.3374 0.3968 0.8691
O4 0.3374 0.9407 0.6309
O5 0.3968 0.0593 0.1309
O6 0.3968 0.3374 0.3691
O7 0.6032 0.6626 0.6309
O8 0.6032 0.9407 0.8691
O9 0.6626 0.0593 0.3691
O10 0.6626 0.6032 0.1309
O11 0.9407 0.3374 0.1309
O12 0.9407 0.6032 0.3691

Results
As for the space group: P-31c (163). The formation energy from raw total energies is -1390 meV/atom. As for the density of states at the Fermi level: 10.07 states/eV per cell.


3.
Material: Na3Nd3IrO8
Method: DFT, PBE
State: relaxed

Cell lengths 6.8726, 6.8726, 6.8726 Å; angles 60.81, 60.81, 60.81 degrees
Sites, in units of the cell vectors:
Na1 0.0000 0.5000 0.5000
Na2 0.5000 0.0000 0.5000
Na3 0.5000 0.5000 0.0000
Nd1 0.0000 0.0000 0.5000
Nd2 0.0000 0.5000 0.0000
Nd3 0.5000 0.0000 0.0000
Ir1 0.5000 0.5000 0.5000
O1 0.2395 0.2395 0.2395
O2 0.2725 0.7151 0.7151
O3 0.2849 0.2849 0.7275
O4 0.2849 0.7275 0.2849
O5 0.7151 0.2725 0.7151
O6 0.7151 0.7151 0.2725
O7 0.7275 0.2849 0.2849
O8 0.7605 0.7605 0.7605

Results
As for the space group: R-3m (166). The formation energy from raw total energies is -2190 meV/atom. As for the density of states at the Fermi level: 7.51 states/eV per cell.


4.
Material: Na3Nd2IrO6
Method: DFT, PBE
State: relaxed

Cell lengths 5.8371, 5.8371, 6.0023 Å; angles 98.93, 98.93, 119.84 degrees
Sites, in units of the cell vectors:
Na1 0.0000 0.0000 0.0000
Na2 0.3505 0.6495 0.0000
Na3 0.6495 0.3505 0.0000
Nd1 0.1685 0.8315 0.5000
Nd2 0.8315 0.1685 0.5000
Ir1 0.5000 0.5000 0.5000
O1 0.1226 0.4263 0.2775
O2 0.2615 0.2615 0.7155
O3 0.4263 0.1226 0.2775
O4 0.5737 0.8774 0.7225
O5 0.7385 0.7385 0.2845
O6 0.8774 0.5737 0.7225

Results
As for the space group: C2/m (12). The formation energy from raw total energies is -1997 meV/atom. As for the density of states at the Fermi level: 0.00 states/eV per cell.


5.
Material: NaNd2IrO5
Method: DFT, PBE
State: relaxed

Cell lengths 6.8462, 6.8462, 5.8232 Å; angles 90.00, 90.00, 90.00 degrees
Sites, in units of the cell vectors:
Na1 0.0000 0.0000 0.0000
Na2 0.5000 0.5000 0.0000
Nd1 0.1784 0.3216 0.5000
Nd2 0.3216 0.8216 0.5000
Nd3 0.6784 0.1784 0.5000
Nd4 0.8216 0.6784 0.5000
Ir1 0.0000 0.5000 0.0000
Ir2 0.5000 0.0000 0.0000
O1 0.0000 0.0000 0.5000
O2 0.1337 0.6337 0.2511
O3 0.1337 0.6337 0.7489
O4 0.3663 0.1337 0.2511
O5 0.3663 0.1337 0.7489
O6 0.5000 0.5000 0.5000
O7 0.6337 0.8663 0.2511
O8 0.6337 0.8663 0.7489
O9 0.8663 0.3663 0.2511
O10 0.8663 0.3663 0.7489

Results
As for the space group: P4/mbm (127). The formation energy from raw total energies is -2190 meV/atom. As for the density of states at the Fermi level: 8.94 states/eV per cell.


6.
Material: NaNd2IrO6
Method: DFT, PBE
State: relaxed

Cell lengths 5.5523, 5.9901, 9.6763 Å; angles 90.00, 124.06, 90.00 degrees
Sites, in units of the cell vectors:
Na1 0.0000 0.0000 0.0000
Na2 0.0000 0.5000 0.5000
Nd1 0.2241 0.0741 0.7465
Nd2 0.2241 0.4259 0.2465
Nd3 0.7759 0.5741 0.7535
Nd4 0.7759 0.9259 0.2535
Ir1 0.5000 0.0000 0.5000
Ir2 0.5000 0.5000 0.0000
O1 0.1510 0.1745 0.4467
O2 0.1510 0.3255 0.9467
O3 0.2680 0.7180 0.4306
O4 0.2680 0.7820 0.9306
O5 0.3909 0.0507 0.2680
O6 0.3909 0.4493 0.7680
O7 0.6091 0.5507 0.2320
O8 0.6091 0.9493 0.7320
O9 0.7320 0.2180 0.0694
O10 0.7320 0.2820 0.5694
O11 0.8490 0.6745 0.0533
O12 0.8490 0.8255 0.5533

Results
As for the space group: P2_1/c (14). The formation energy from raw total energies is -2216 meV/atom. As for the density of states at the Fermi level: 10.06 states/eV per cell.


7.
Material: Na2NdIrO6
Method: DFT, PBE
State: relaxed

Cell lengths 5.7158, 5.8601, 9.9351 Å; angles 90.00, 124.49, 90.00 degrees
Sites, in units of the cell vectors:
Na1 0.2398 0.0419 0.2510
Na2 0.2398 0.4581 0.7510
Na3 0.7602 0.5419 0.2490
Na4 0.7602 0.9581 0.7490
Nd1 0.5000 0.0000 0.0000
Nd2 0.5000 0.5000 0.5000
Ir1 0.0000 0.0000 0.5000
Ir2 0.0000 0.5000 0.0000
O1 0.1157 0.2288 0.9442
O2 0.1157 0.2712 0.4442
O3 0.2242 0.6789 0.9519
O4 0.2242 0.8211 0.4519
O5 0.3195 0.0331 0.7225
O6 0.3195 0.4669 0.2225
O7 0.6805 0.5331 0.7775
O8 0.6805 0.9669 0.2775
O9 0.7758 0.1789 0.5481
O10 0.7758 0.3211 0.0481
O11 0.8843 0.7288 0.5558
O12 0.8843 0.7712 0.0558

Results
As for the space group: P2_1/c (14). The formation energy from raw total energies is -1597 meV/atom. As for the density of states at the Fermi level: 12.23 states/eV per cell.


8.
Material: NaNiIr3
Method: DFT, PBE
State: relaxed

Cell lengths 4.4416, 4.4416, 4.4416 Å; angles 90.00, 90.00, 90.00 degrees
Sites, in units of the cell vectors:
Na1 0.0000 0.0000 0.0000
Ni1 0.5000 0.5000 0.5000
Ir1 0.0000 0.0000 0.5000
Ir2 0.0000 0.5000 0.0000
Ir3 0.5000 0.0000 0.0000

Results
As for the space group: Pm-3m (221). For the energy above the lowest structure with this stoichiometry, the calculation gives 1.190 eV/atom. For the formation energy, the calculation gives 2.52 eV per atom. As for the density of states at the Fermi level: 6.32 states/eV per cell.